(1)
ScCrSn3 at its PBEsol-relaxed geometry, computed with meta-GGA SCAN.

Cell lengths 4.969, 4.969, 4.969 Å; angles 90.00, 90.00, 90.00 degrees
Fractional coordinates of all 5 atoms:
1 Sc 0.500 0.500 0.500
2 Cr 0.000 0.000 0.000
3 Sn 0.000 0.500 0.000
4 Sn 0.000 0.000 0.500
5 Sn 0.500 0.000 0.000

Calculated values
calculated formation energy = 0.249 eV per atom
space group = Pm-3m, No. 221
total energy = -139.14 eV per formula unit
volume = 24.533 Å³/atom



(2)
Sr3ScCr at its PBEsol-relaxed geometry, computed with meta-GGA SCAN.

Cell lengths 5.912, 5.912, 5.912 Å; angles 90.00, 90.00, 90.00 degrees
Fractional coordinates of all 5 atoms:
1 Sc 0.500 0.500 0.500
2 Sr 0.000 0.500 0.000
3 Sr 0.000 0.000 0.500
4 Sr 0.500 0.000 0.000
5 Cr 0.000 0.000 0.000

Calculated values
calculated formation energy = 0.700 eV per atom
space group = Pm-3m, No. 221
total energy = -95.95 eV per formula unit
volume = 41.324 Å³/atom



(3)
Sr4ScCr at its PBEsol-relaxed geometry, computed with meta-GGA SCAN.

Cell lengths 6.956, 6.956, 6.956 Å; angles 60.00, 60.00, 60.00 degrees
Fractional coordinates of all 6 atoms:
1 Cr 0.750 0.750 0.750
2 Sc 0.000 0.000 0.000
3 Sr 0.375 0.375 0.375
4 Sr 0.375 0.375 0.876
5 Sr 0.876 0.375 0.375
6 Sr 0.375 0.876 0.375

Calculated values
calculated formation energy = 0.764 eV per atom
space group = F-43m, No. 216
total energy = -117.14 eV per formula unit
volume = 39.659 Å³/atom



(4)
ScTaCr2 at its PBEsol-relaxed geometry, computed with meta-GGA SCAN.

Cell lengths 3.143, 4.231, 4.600 Å; angles 90.00, 90.00, 90.00 degrees
Fractional coordinates of all 4 atoms:
1 Cr 0.000 0.000 0.000
2 Cr 0.500 0.000 0.500
3 Sc 0.500 0.500 0.000
4 Ta 0.000 0.500 0.500

Calculated values
calculated formation energy = 0.305 eV per atom
space group = Pmmm, No. 47
total energy = -116.37 eV per formula unit
volume = 15.293 Å³/atom



(5)
ScTa2Cr at its PBEsol-relaxed geometry, computed with meta-GGA SCAN.

Cell lengths 3.095, 3.095, 7.100 Å; angles 90.00, 90.00, 90.00 degrees
Fractional coordinates of all 4 atoms:
1 Cr 0.500 0.500 0.000
2 Sc 0.500 0.500 0.500
3 Ta 0.000 0.000 0.795
4 Ta 0.000 0.000 0.205

Calculated values
calculated formation energy = 0.172 eV per atom
space group = P4/mmm, No. 123
total energy = -165.10 eV per formula unit
volume = 17.002 Å³/atom



(6)
ScTaCr2 at its PBEsol-relaxed geometry, computed with meta-GGA SCAN.

Cell lengths 2.826, 4.202, 5.461 Å; angles 90.00, 99.15, 90.00 degrees
Fractional coordinates of all 4 atoms:
1 Cr 0.689 0.000 0.687
2 Cr 0.311 0.000 0.313
3 Sc 0.500 0.500 0.000
4 Ta 0.000 0.500 0.500

Calculated values
calculated formation energy = 0.390 eV per atom
space group = P2/m, No. 10
total energy = -116.03 eV per formula unit
volume = 16.005 Å³/atom



(7)
ScTaCr4 at its PBEsol-relaxed geometry, computed with meta-GGA SCAN.

Cell lengths 4.884, 4.884, 4.884 Å; angles 60.00, 60.00, 60.00 degrees
Fractional coordinates of all 6 atoms:
1 Sc 0.250 0.250 0.250
2 Cr 0.625 0.625 0.125
3 Cr 0.125 0.625 0.625
4 Cr 0.625 0.125 0.625
5 Cr 0.625 0.625 0.625
6 Ta 0.000 0.000 0.000

Calculated values
calculated formation energy = 0.016 eV per atom
space group = F-43m, No. 216
total energy = -154.26 eV per formula unit
volume = 13.727 Å³/atom



(8)
ScCrTc2 at its PBEsol-relaxed geometry, computed with meta-GGA SCAN.

Cell lengths 2.773, 4.207, 5.043 Å; angles 90.00, 90.00, 90.00 degrees
Fractional coordinates of all 4 atoms:
1 Cr 0.000 0.000 0.481
2 Sc 0.500 0.500 0.746
3 Tc 0.000 0.000 0.021
4 Tc 0.500 0.500 0.252

Calculated values
calculated formation energy = 0.273 eV per atom
space group = Pmm2, No. 25
total energy = -101.65 eV per formula unit
volume = 14.710 Å³/atom



(9)
ScCrTc2 at its PBEsol-relaxed geometry, computed with meta-GGA SCAN.

Cell lengths 2.849, 2.849, 8.533 Å; angles 80.39, 80.39, 60.00 degrees
Fractional coordinates of all 4 atoms:
1 Cr 0.500 0.500 0.500
2 Sc 0.000 0.000 0.000
3 Tc 0.241 0.241 0.276
4 Tc 0.759 0.759 0.724

Calculated values
calculated formation energy = 0.219 eV per atom
space group = R-3m, No. 166
total energy = -101.86 eV per formula unit
volume = 14.718 Å³/atom



(10)
ScCrTc at its PBEsol-relaxed geometry, computed with meta-GGA SCAN.

Cell lengths 2.885, 2.885, 6.298 Å; angles 90.00, 90.00, 120.00 degrees
Fractional coordinates of all 3 atoms:
1 Cr 0.000 0.000 0.025
2 Sc 0.333 0.667 0.673
3 Tc 0.667 0.333 0.302

Calculated values
calculated formation energy = 0.314 eV per atom
space group = P3m1, No. 156
total energy = -66.74 eV per formula unit
volume = 15.134 Å³/atom



(11)
ScCrTc2 at its PBEsol-relaxed geometry, computed with meta-GGA SCAN.

Cell lengths 2.704, 2.704, 8.462 Å; angles 90.00, 90.00, 111.10 degrees
Fractional coordinates of all 4 atoms:
1 Cr 0.500 0.500 0.500
2 Sc 0.500 0.500 0.000
3 Tc 0.000 0.000 0.273
4 Tc 0.000 0.000 0.727

Calculated values
calculated formation energy = 0.068 eV per atom
space group = Cmmm, No. 65
total energy = -102.47 eV per formula unit
volume = 14.426 Å³/atom



(12)
ScCrTe2 at its PBEsol-relaxed geometry, computed with meta-GGA SCAN.

Cell lengths 3.981, 3.981, 5.843 Å; angles 90.00, 90.00, 90.00 degrees
Fractional coordinates of all 4 atoms:
1 Cr 0.000 0.000 0.432
2 Sc 0.500 0.500 0.815
3 Te 0.000 0.000 0.912
4 Te 0.500 0.500 0.341

Calculated values
space group = P4mm, No. 99
ΔE to the lowest computed polymorph = 0.0 kJ/mol of atoms
total energy = -110.37 eV per formula unit
volume = 23.148 Å³/atom
formation energy (no corrections) = -812 meV per atom